Entry from Alexandria: a relaxed YMo2F11 crystal (PBE with a Hubbard U).

Values from the calculation:
space group: Ibam
DFT total energy: -82.251 eV per formula unit
magnetic moment: 4.000 μB/f.u.

a = 8.240 Å, b = 8.240 Å, c = 8.240 Å
α = 124.25°, β = 106.58°, γ = 98.73°
Fractional positions:
Y (0.250, 0.250, 0.000)
Y (0.750, 0.750, 0.000)
Mo (0.181, 0.641, 0.822)
Mo (0.319, 0.141, 0.460)
Mo (0.681, 0.859, 0.540)
Mo (0.819, 0.359, 0.178)
F (0.000, 0.500, 0.500)
F (0.044, 0.955, 0.279)
F (0.061, 0.366, 0.162)
F (0.177, 0.455, 0.911)
F (0.203, 0.899, 0.838)
F (0.215, 0.368, 0.584)
F (0.285, 0.868, 0.153)
F (0.297, 0.134, 0.696)
F (0.323, 0.234, 0.279)
F (0.439, 0.601, 0.304)
F (0.456, 0.734, 0.911)
F (0.500, 0.000, 0.500)
F (0.544, 0.266, 0.089)
F (0.561, 0.399, 0.696)
F (0.677, 0.766, 0.721)
F (0.703, 0.866, 0.304)
F (0.715, 0.132, 0.847)
F (0.785, 0.632, 0.416)
F (0.797, 0.101, 0.162)
F (0.823, 0.545, 0.089)
F (0.939, 0.634, 0.838)
F (0.956, 0.045, 0.721)